(1)
Compound: PaSeN
Source: the Alexandria database
Functional: PBE
Structure: optimized geometry

Cell lengths 3.894, 3.894, 7.045 Å; angles 90.00, 90.00, 90.00 degrees
Fractional positions:
Pa 0.000 0.500 0.327
Pa 0.500 0.000 0.673
Se 0.000 0.500 0.870
Se 0.500 0.000 0.130
N 0.500 0.500 0.500
N 0.000 0.000 0.500

Calculated values
The crystal system is tetragonal. The distance to the lowest polymorph of the same formula comes out at 0 meV per atom. Its calculated volume is 17.806 A^3/atom. The calculation puts the uncorrected energy at -8.880 eV/atom. Its space group is P4/nmm.



(2)
Compound: Pa4Se3N2
Source: the Alexandria database
Functional: PBE
Structure: optimized geometry

Cell lengths 6.178, 7.964, 7.964 Å; angles 75.55, 91.55, 91.55 degrees
Fractional positions:
Pa 0.473 0.944 0.297
Pa 0.027 0.703 0.056
Pa 0.527 0.056 0.703
Pa 0.973 0.297 0.944
Pa 0.066 0.259 0.420
Pa 0.434 0.580 0.741
Pa 0.934 0.741 0.580
Pa 0.566 0.420 0.259
Se 0.972 0.988 0.240
Se 0.528 0.760 0.012
Se 0.028 0.012 0.760
Se 0.472 0.240 0.988
Se 0.250 0.602 0.398
Se 0.750 0.398 0.602
N 0.407 0.159 0.425
N 0.093 0.575 0.841
N 0.593 0.841 0.575
N 0.907 0.425 0.159

Calculated values
The crystal system is monoclinic. Its calculated volume is 21.069 A^3/atom. The calculation puts the uncorrected energy at -8.632 eV/atom. Its space group is C2/c.



(3)
Compound: Pa5Se5N2
Source: the Alexandria database
Functional: PBE
Structure: optimized geometry

Cell lengths 3.842, 6.797, 10.817 Å; angles 106.35, 90.00, 106.42 degrees
Fractional positions:
Pa 0.098 0.195 0.373
Pa 0.653 0.306 0.792
Pa 0.347 0.694 0.208
Pa 0.902 0.805 0.627
Pa 0.000 0.000 0.000
Se 0.500 0.000 0.500
Se 0.669 0.338 0.066
Se 0.759 0.518 0.361
Se 0.241 0.482 0.639
Se 0.331 0.662 0.934
N 0.044 0.088 0.800
N 0.956 0.912 0.200

Calculated values
The crystal system is monoclinic. Its calculated volume is 21.586 A^3/atom. The calculation puts the uncorrected energy at -8.172 eV/atom. Its space group is C2/m.



(4)
Compound: Pa2SeN2
Source: the Alexandria database
Functional: PBE
Structure: optimized geometry

Cell lengths 6.123, 6.123, 6.333 Å; angles 112.84, 111.18, 102.99 degrees
Fractional positions:
Pa 0.823 0.179 0.238
Pa 0.560 0.415 0.738
Pa 0.440 0.585 0.262
Pa 0.177 0.821 0.762
Se 0.117 0.867 0.250
Se 0.883 0.133 0.750
N 0.493 0.244 0.982
N 0.238 0.489 0.482
N 0.507 0.756 0.018
N 0.762 0.511 0.518

Calculated values
The crystal system is monoclinic. Its calculated volume is 18.469 A^3/atom. The calculation puts the uncorrected energy at -9.404 eV/atom. Its space group is C2/c.



(5)
Compound: Pa5Se5N
Source: the Alexandria database
Functional: PBE
Structure: optimized geometry

Cell lengths 5.601, 6.756, 7.944 Å; angles 107.78, 90.00, 114.49 degrees
Fractional positions:
Pa 0.843 0.686 0.144
Pa 0.853 0.705 0.709
Pa 0.500 0.000 0.000
Pa 0.147 0.295 0.291
Pa 0.157 0.314 0.856
Se 0.676 0.352 0.346
Se 0.650 0.299 0.798
Se 0.000 0.000 0.500
Se 0.350 0.701 0.202
Se 0.324 0.648 0.654
N 0.000 0.000 0.000

Calculated values
The crystal system is monoclinic. Its calculated volume is 23.425 A^3/atom. The calculation puts the uncorrected energy at -7.922 eV/atom. Its space group is C2/m.



(6)
Compound: PaSeN
Source: the Alexandria database
Functional: PBE
Structure: optimized geometry

Cell lengths 4.340, 3.838, 3.838 Å; angles 120.00, 90.00, 90.00 degrees
Fractional positions:
Pa 0.167 0.000 0.000
Se 0.667 0.667 0.333
N 0.167 0.333 0.667

Calculated values
The crystal system is hexagonal. The distance to the lowest polymorph of the same formula comes out at 226 meV per atom. Its calculated volume is 18.460 A^3/atom. The calculation puts the uncorrected energy at -8.654 eV/atom. Its space group is P-6m2.



ΔE_f (raw) values, unit meV per atom, following the record order: -1778, -1400, -1376, -1578, -1265, -1552.